Record 1
A plane-wave DFT calculation with GGA-PBE was carried out for crystalline K2RbBrO at its relaxed geometry.

a = 5.288 Å, b = 5.288 Å, c = 5.577 Å
α = 90.00°, β = 90.00°, γ = 90.00°
Element x y z (fractional)
K: 0.000 0.500 0.000
K: 0.500 0.000 0.000
Rb: 0.000 0.000 0.500
Br: 0.500 0.500 0.500
O: 0.000 0.000 0.000

Calculated values
Formation energy without anion corrections ... -6.5 eV/f.u.
Total moment ... 0.00 μB per formula unit
E above lowest polymorph ... 0.0 kJ/mol of atoms

***

Record 2
A plane-wave DFT calculation with GGA-PBE was carried out for crystalline K5ReBr2O4 at its relaxed geometry.

a = 8.642 Å, b = 6.159 Å, c = 6.159 Å
α = 110.82°, β = 90.00°, γ = 90.00°
Element x y z (fractional)
K: 0.000 0.000 0.000
K: 0.308 0.201 0.584
K: 0.308 0.584 0.201
K: 0.692 0.201 0.584
K: 0.692 0.584 0.201
Re: 0.500 0.912 0.912
Br: 0.000 0.452 0.845
Br: 0.000 0.845 0.452
O: 0.327 0.053 0.053
O: 0.500 0.581 0.826
O: 0.500 0.826 0.581
O: 0.673 0.053 0.053

Calculated values
Formation energy without anion corrections ... -18.4 eV/f.u.
Total moment ... 0.00 μB per formula unit

***

Record 3
A plane-wave DFT calculation with GGA-PBE was carried out for crystalline KReBrO2 at its relaxed geometry.

a = 4.655 Å, b = 4.655 Å, c = 4.591 Å
α = 90.00°, β = 90.00°, γ = 90.00°
Element x y z (fractional)
K: 0.000 0.000 0.000
Re: 0.500 0.500 0.000
Br: 0.500 0.500 0.500
O: 0.000 0.500 0.500
O: 0.500 0.000 0.500

Calculated values
Formation energy without anion corrections ... 5.7 eV/f.u.
Total moment ... 3.40 μB per formula unit

***

Record 4
A plane-wave DFT calculation with GGA-PBE was carried out for crystalline K2RhBr2O2 at its relaxed geometry.

a = 8.958 Å, b = 8.958 Å, c = 8.958 Å
α = 152.82°, β = 152.82°, γ = 38.82°
Element x y z (fractional)
K: 0.107 0.107 0.000
K: 0.893 0.893 0.000
Rh: 0.500 0.500 0.000
Br: 0.344 0.344 0.000
Br: 0.656 0.656 0.000
O: 0.000 0.500 0.500
O: 0.500 0.000 0.500

Calculated values
Formation energy without anion corrections ... -6.9 eV/f.u.
Total moment ... 1.58 μB per formula unit

***

Record 5
A plane-wave DFT calculation with GGA-PBE was carried out for crystalline KRuBrO2 at its relaxed geometry.

a = 4.536 Å, b = 4.536 Å, c = 5.968 Å
α = 90.00°, β = 90.00°, γ = 90.00°
Element x y z (fractional)
K: 0.000 0.000 0.000
Ru: 0.500 0.500 0.500
Br: 0.000 0.000 0.500
O: 0.000 0.500 0.000
O: 0.500 0.000 0.000

Calculated values
Formation energy without anion corrections ... 5.8 eV/f.u.
Total moment ... 6.00 μB per formula unit

***

Record 6
A plane-wave DFT calculation with GGA-PBE was carried out for crystalline K5RuBr2O4 at its relaxed geometry.

a = 8.677 Å, b = 6.157 Å, c = 6.157 Å
α = 112.96°, β = 90.00°, γ = 90.00°
Element x y z (fractional)
K: 0.000 0.000 0.000
K: 0.301 0.185 0.558
K: 0.301 0.558 0.185
K: 0.699 0.185 0.558
K: 0.699 0.558 0.185
Ru: 0.500 0.889 0.889
Br: 0.000 0.444 0.821
Br: 0.000 0.821 0.444
O: 0.331 0.057 0.057
O: 0.500 0.573 0.856
O: 0.500 0.856 0.573
O: 0.669 0.057 0.057

Calculated values
Formation energy without anion corrections ... -16.4 eV/f.u.
Total moment ... 1.01 μB per formula unit